# 1
Li2CaAg3: relaxed, GGA-PBE.

Computed properties:
offset from the most stable computed form = 0 meV/atom
DFT formation energy = -0.22 eV/atom
total magnetic moment = 0.0 μB/f.u.
space group = No. 194

Cell lengths 4.684, 4.684, 12.657 Å; angles 90.00, 90.00, 120.00 degrees
Positions (direct):
1 Li 0.667 0.333 0.423
2 Li 0.667 0.333 0.077
3 Li 0.333 0.667 0.923
4 Li 0.333 0.667 0.577
5 Ca 0.000 0.000 0.250
6 Ca 0.000 0.000 0.750
7 Ag 0.667 0.333 0.871
8 Ag 0.333 0.667 0.129
9 Ag 0.000 0.000 0.000
10 Ag 0.000 0.000 0.500
11 Ag 0.667 0.333 0.629
12 Ag 0.333 0.667 0.371

# 2
Be9Re2Tc: relaxed, GGA-PBE.

Computed properties:
DFT formation energy = -0.25 eV/atom
total magnetic moment = 0.0 μB/f.u.
space group = No. 166

Cell lengths 4.342, 4.342, 7.339 Å; angles 72.79, 72.79, 60.00 degrees
Positions (direct):
1 Re 0.852 0.852 0.444
2 Re 0.148 0.148 0.556
3 Be 0.416 0.416 0.245
4 Be 0.078 0.584 0.755
5 Be 0.334 0.334 0.998
6 Be 0.922 0.416 0.245
7 Be 0.500 0.500 0.500
8 Be 0.584 0.584 0.755
9 Be 0.416 0.922 0.245
10 Be 0.584 0.078 0.755
11 Be 0.666 0.666 0.002
12 Tc 0.000 0.000 0.000